--- a ---
A plane-wave DFT calculation with PBE-GGA was carried out for a relaxed TaHgTe crystal.

Values from the calculation:
Space-group type: No. 107
DOS at the Fermi energy, states/eV per atom: 0.7582

Cell: 6.7759 6.7759 6.7759 Å, 151.17 151.17 41.23°
With the nearest neighbours (Å) after each atom.
Atoms (fractional coordinates):
Hg  0.9718  0.9718  0.0000  4 Ta 3.02, 4 Hg 3.37
Ta  0.3257  0.3257  0.0000  4 Te 2.85, 4 Hg 3.02
Te  0.7025  0.7025  0.0000  4 Ta 2.85

--- b ---
A plane-wave DFT calculation with PBE-GGA was carried out for a relaxed TaHgTe crystal.

Values from the calculation:
Space-group type: No. 160
DOS at the Fermi energy, states/eV per atom: 0.7360

Cell: 3.4424 3.4424 21.4073 Å, 90.00 90.00 120.00°
With the nearest neighbours (Å) after each atom.
Atoms (fractional coordinates):
Te  0.0000  0.0000  0.0178  3 Ta 2.74, 1 Hg 3.05
Te  0.3333  0.6667  0.6844  3 Ta 2.74, 1 Hg 3.05
Te  0.6667  0.3333  0.3511  3 Ta 2.74, 1 Hg 3.05
Hg  0.0000  0.0000  0.8754  3 Ta 2.97, 1 Te 3.05
Hg  0.3333  0.6667  0.5421  3 Ta 2.97, 1 Te 3.05
Hg  0.6667  0.3333  0.2088  3 Ta 2.97, 1 Te 3.05
Ta  0.0000  0.0000  0.4392  3 Te 2.74, 3 Hg 2.97
Ta  0.3333  0.6667  0.1059  3 Te 2.74, 3 Hg 2.97
Ta  0.6667  0.3333  0.7725  3 Te 2.74, 3 Hg 2.97

Q: Which of them is the most stable? A: b.

--- a ---
A plane-wave DFT calculation with PBE-GGA was carried out for a relaxed TaHgTe crystal.

Values from the calculation:
Space-group type: No. 216
DOS at the Fermi energy, states/eV per atom: 1.0087

Cell: 4.7476 4.7476 4.7476 Å, 60.00 60.00 60.00°
With the nearest neighbours (Å) after each atom.
Atoms (fractional coordinates):
Hg  0.5000  0.5000  0.5000  4 Ta 2.91
Ta  0.7500  0.7500  0.7500  4 Hg 2.91, 4 Te 2.91
Te  0.0000  0.0000  0.0000  4 Ta 2.91

--- b ---
A plane-wave DFT calculation with PBE-GGA was carried out for a relaxed TaHgTe crystal.

Values from the calculation:
Space-group type: No. 12
DOS at the Fermi energy, states/eV per atom: 0.1980

Cell: 3.6458 4.9266 8.9849 Å, 105.85 101.73 90.00°
With the nearest neighbours (Å) after each atom.
Atoms (fractional coordinates):
Te  0.8604  0.3604  0.7210  4 Ta 2.76-2.97
Te  0.1396  0.6396  0.2790  4 Ta 2.76-2.97
Hg  0.5838  0.0834  0.1660  1 Hg 2.80
Hg  0.4162  0.9166  0.8340  1 Hg 2.80
Ta  0.7630  0.7627  0.5248  4 Te 2.76-2.97, 3 Ta 3.09
Ta  0.2370  0.2373  0.4752  4 Te 2.76-2.97, 3 Ta 3.09

Q: Which of them is the most stable? A: b.

--- a ---
A plane-wave DFT calculation with PBE-GGA was carried out for a relaxed TaTiHg2 crystal.

Values from the calculation:
Space-group type: No. 122
DOS at the Fermi energy, states/eV per atom: 0.8294

Cell: 7.5682 7.5682 6.0799 Å, 51.51 51.51 90.00°
With the nearest neighbours (Å) after each atom.
Atoms (fractional coordinates):
Ti  0.5000  0.5000  0.0000  4 Hg 2.74, 2 Ta 2.89
Ti  0.2500  0.7500  0.5000  4 Hg 2.74, 2 Ta 2.89
Hg  0.6195  0.1250  0.2500  2 Ti 2.74, 2 Ta 2.80, 2 Hg 2.89
Hg  0.1305  0.6250  0.2500  2 Ti 2.74, 2 Ta 2.80, 2 Hg 2.89
Hg  0.3750  0.3805  0.7500  2 Ti 2.74, 2 Ta 2.80, 2 Hg 2.89
Hg  0.8750  0.8695  0.7500  2 Ti 2.74, 2 Ta 2.80, 2 Hg 2.89
Ta  0.0000  0.0000  0.0000  4 Hg 2.80, 2 Ti 2.89
Ta  0.7500  0.2500  0.5000  4 Hg 2.80, 2 Ti 2.89

--- b ---
A plane-wave DFT calculation with PBE-GGA was carried out for a relaxed TaTiHg2 crystal.

Values from the calculation:
Space-group type: No. 225
DOS at the Fermi energy, states/eV per atom: 1.1619

Cell: 4.7621 4.7621 4.7621 Å, 60.00 60.00 60.00°
With the nearest neighbours (Å) after each atom.
Atoms (fractional coordinates):
Ti  0.0000  0.0000  0.0000  8 Hg 2.92
Hg  0.2500  0.2500  0.2500  4 Ta 2.92, 4 Ti 2.92
Hg  0.7500  0.7500  0.7500  4 Ti 2.92, 4 Ta 2.92
Ta  0.5000  0.5000  0.5000  8 Hg 2.92

Q: Which of them is the most stable? A: b.

--- a ---
A plane-wave DFT calculation with PBE-GGA was carried out for a relaxed TaTl2Hg crystal.

Values from the calculation:
Space-group type: No. 35
DOS at the Fermi energy, states/eV per atom: 0.5657

Cell: 3.1035 3.1035 10.0189 Å, 90.00 90.00 90.86°
With the nearest neighbours (Å) after each atom.
Atoms (fractional coordinates):
Hg  0.0000  0.0000  0.5355  4 Ta 2.98-3.00, 4 Hg 3.10
Ta  0.5000  0.5000  0.7383  4 Hg 2.98-3.00, 4 Ta 3.10, 4 Tl 3.16-3.18
Tl  0.0000  0.0000  0.9666  4 Tl 3.10, 4 Ta 3.16-3.18
Tl  0.5000  0.5000  0.2596  4 Tl 3.10

--- b ---
A plane-wave DFT calculation with PBE-GGA was carried out for a relaxed TaTl2Hg crystal.

Values from the calculation:
Space-group type: No. 122
DOS at the Fermi energy, states/eV per atom: 1.1958

Cell: 8.0162 8.0162 6.4423 Å, 51.53 51.53 90.00°
With the nearest neighbours (Å) after each atom.
Atoms (fractional coordinates):
Tl  0.6188  0.1250  0.2500  2 Ta 2.90, 2 Hg 2.97, 2 Tl 3.06
Tl  0.1312  0.6250  0.2500  2 Ta 2.90, 2 Hg 2.97, 2 Tl 3.06
Tl  0.3750  0.3812  0.7500  2 Ta 2.90, 2 Hg 2.97, 2 Tl 3.06
Tl  0.8750  0.8688  0.7500  2 Ta 2.90, 2 Hg 2.97, 2 Tl 3.06
Hg  0.0000  0.0000  0.0000  4 Tl 2.97, 2 Ta 3.06
Hg  0.7500  0.2500  0.5000  4 Tl 2.97, 2 Ta 3.06
Ta  0.5000  0.5000  0.0000  4 Tl 2.90, 2 Hg 3.06
Ta  0.2500  0.7500  0.5000  4 Tl 2.90, 2 Hg 3.06

Q: Which of them is the most stable? A: a.

--- a ---
A plane-wave DFT calculation with PBE-GGA was carried out for a relaxed TaTl2Hg crystal.

Values from the calculation:
Space-group type: No. 47
DOS at the Fermi energy, states/eV per atom: 0.7713

Cell: 3.0902 5.5476 5.4516 Å, 90.00 90.00 90.00°
With the nearest neighbours (Å) after each atom.
Atoms (fractional coordinates):
Hg  0.5000  0.0000  0.5000  2 Hg 3.09, 4 Tl 3.13, 4 Ta 3.18
Ta  0.0000  0.5000  0.5000  2 Ta 3.09, 4 Tl 3.13, 4 Hg 3.18
Tl  0.0000  0.0000  0.0000  6 Tl 3.09-3.18, 4 Hg 3.13
Tl  0.5000  0.5000  0.0000  6 Tl 3.09-3.18, 4 Ta 3.13

--- b ---
A plane-wave DFT calculation with PBE-GGA was carried out for a relaxed TaTl2Hg crystal.

Values from the calculation:
Space-group type: No. 8
DOS at the Fermi energy, states/eV per atom: 0.3885

Cell: 5.9620 5.9620 5.4826 Å, 66.92 66.92 30.81°
With the nearest neighbours (Å) after each atom.
Atoms (fractional coordinates):
Hg  0.4778  0.4778  0.4413  2 Ta 2.97, 7 Tl 3.06-3.23, 2 Hg 3.17
Ta  0.7636  0.7636  0.8289  2 Hg 2.97, 7 Tl 3.03-3.32, 2 Ta 3.17
Tl  0.0176  0.0176  0.9127  3 Ta 3.11-3.14, 5 Tl 3.17-3.44, 4 Hg 3.17-3.22
Tl  0.2410  0.2410  0.3171  4 Ta 3.03-3.32, 3 Hg 3.06-3.23, 3 Tl 3.17-3.23

Q: Which of them is the most stable? A: b.

--- a ---
A plane-wave DFT calculation with PBE-GGA was carried out for a relaxed TaTl2Hg crystal.

Values from the calculation:
Space-group type: No. 12
DOS at the Fermi energy, states/eV per atom: 0.6487

Cell: 7.8474 7.8474 5.0056 Å, 71.31 71.31 21.92°
With the nearest neighbours (Å) after each atom.
Atoms (fractional coordinates):
Hg  0.2500  0.2500  0.2500  4 Ta 2.91, 2 Hg 2.98
Ta  0.7500  0.7500  0.7500  4 Hg 2.91, 2 Ta 2.98, 4 Tl 3.04
Tl  0.0679  0.0679  0.9320  2 Tl 2.98, 2 Ta 3.04
Tl  0.4321  0.4321  0.5680  2 Tl 2.98, 2 Ta 3.04

--- b ---
A plane-wave DFT calculation with PBE-GGA was carried out for a relaxed TaTl2Hg crystal.

Values from the calculation:
Space-group type: No. 12
DOS at the Fermi energy, states/eV per atom: 0.4302

Cell: 6.0695 6.0695 3.1550 Å, 75.59 75.59 116.23°
With the nearest neighbours (Å) after each atom.
Atoms (fractional coordinates):
Hg  0.5000  0.0000  0.5000  4 Tl 3.05, 2 Hg 3.15, 4 Ta 3.21-3.27
Ta  0.0000  0.5000  0.5000  4 Tl 3.05, 2 Ta 3.15, 4 Hg 3.21-3.27
Tl  0.0000  0.0000  0.0000  2 Hg 3.05, 2 Ta 3.05, 6 Tl 3.15-3.27
Tl  0.5000  0.5000  0.0000  2 Ta 3.05, 2 Hg 3.05, 6 Tl 3.15-3.27

Q: Which of them is the most stable? A: a.